1.
An optimized crystal structure of SmThZnRh, computed with GGA-PBE.

extended XYZ file:
```
4
Lattice="-2.832 -4.117 -0.924 1.164 -4.431 2.200 -2.996 -1.893 3.643" Properties=species:S:1:pos:R:3 pbc="T T T"
Zn 0.000 0.000 0.000
Th -1.166 -2.610 1.230
Rh -2.332 -5.220 2.459
Sm -3.498 -7.831 3.689
```

Values from the calculation:
Total magnetic moment, Bohr magnetons per cell: 0.0
E_form, eV per atom: -0.453
Energy, eV per atom: -5.644


2.
An optimized crystal structure of CsSr2Ru, computed with GGA-PBE.

extended XYZ file:
```
8
Lattice="8.607 0.000 0.000 0.000 8.607 0.000 4.303 4.303 6.126" Properties=species:S:1:pos:R:3 pbc="T T T"
Sr 4.288 6.455 1.531
Ru 4.303 4.303 0.000
Cs 0.000 0.000 0.000
Ru 4.303 8.607 3.063
Cs 8.607 4.303 3.063
Sr 10.758 8.622 4.594
Sr 6.455 8.591 4.594
Sr 4.319 2.152 1.531
```

Values from the calculation:
Energy above the most stable polymorph in this dataset, eV/f.u.: 0.00
Total magnetic moment, Bohr magnetons per cell: 0.0
E_form, eV per atom: 0.552
Energy, eV per atom: -2.821


3.
An optimized crystal structure of V3CuHg, computed with GGA-PBE.

extended XYZ file:
```
5
Lattice="4.449 0.000 0.000 0.000 4.449 0.000 0.000 0.000 4.449" Properties=species:S:1:pos:R:3 pbc="T T T"
V 2.224 0.000 0.000
V 0.000 2.224 0.000
Cu 0.000 0.000 0.000
V 0.000 0.000 2.224
Hg 2.224 2.224 2.224
```

Values from the calculation:
Energy above the most stable polymorph in this dataset, eV/f.u.: 0.00
Total magnetic moment, Bohr magnetons per cell: 2.6
E_form, eV per atom: 1.079
Energy, eV per atom: -5.271


4.
An optimized crystal structure of Ca2HgOsI, computed with GGA-PBE.

extended XYZ file:
```
5
Lattice="5.778 0.000 0.000 0.000 5.723 0.000 0.000 0.000 5.778" Properties=species:S:1:pos:R:3 pbc="T T T"
I 0.000 2.862 0.000
Ca 0.000 0.000 2.889
Hg 0.000 0.000 0.000
Ca 2.889 0.000 0.000
Os 2.889 2.862 2.889
```

Values from the calculation:
Total magnetic moment, Bohr magnetons per cell: 2.7
Energy, eV per atom: -2.286
Energy relative to the elements, uncorrected, eV per atom: 1.131


5.
An optimized crystal structure of LiBeTcF2, computed with GGA-PBE.

extended XYZ file:
```
5
Lattice="-1.108 -3.819 0.630 5.153 -1.719 -1.355 1.117 0.312 3.855" Properties=species:S:1:pos:R:3 pbc="T T T"
F 0.559 0.156 1.927
Be 2.581 -2.613 1.565
F -0.554 -1.909 0.315
Li 2.576 -0.859 -0.677
Tc 0.000 0.000 0.000
```

Values from the calculation:
Total magnetic moment, Bohr magnetons per cell: 2.1
Energy, eV per atom: -4.092
Energy relative to the elements, uncorrected, eV per atom: -0.143


6.
An optimized crystal structure of NaGe2Mo, computed with GGA-PBE.

extended XYZ file:
```
8
Lattice="-1.590 -1.784 4.875 5.189 -0.687 1.441 2.010 6.222 5.955" Properties=species:S:1:pos:R:3 pbc="T T T"
Ge 1.884 3.869 6.564
Na 1.800 -1.235 3.158
Ge -0.140 0.020 5.630
Mo 0.000 0.000 0.000
Ge 2.255 -0.546 6.959
Na 4.499 2.150 5.277
Ge 0.441 3.063 8.822
Mo 1.110 1.602 6.994
```

Values from the calculation:
Energy above the most stable polymorph in this dataset, eV/f.u.: 1.39
Total magnetic moment, Bohr magnetons per cell: 2.0
E_form, eV per atom: 0.495
Energy, eV per atom: -4.851


7.
An optimized crystal structure of Bi3I4, computed with GGA-PBE.

extended XYZ file:
```
7
Lattice="-3.090 -0.220 3.170 5.295 -1.976 5.024 3.143 9.980 0.657" Properties=species:S:1:pos:R:3 pbc="T T T"
I -0.051 0.513 3.085
Bi 0.000 0.000 0.000
I 5.398 7.271 5.767
I 4.571 1.101 4.532
I 0.776 6.682 4.320
Bi 2.412 4.555 5.767
Bi 2.935 3.229 3.085
```

Values from the calculation:
Total magnetic moment, Bohr magnetons per cell: 0.0
Energy, eV per atom: -2.752
Energy relative to the elements, uncorrected, eV per atom: -0.203


8.
An optimized crystal structure of AgH14C3S3N6ClO, computed with GGA-PBE.

extended XYZ file:
```
58
Lattice="6.476 0.300 0.056 -1.686 9.836 -0.125 -0.389 -2.334 11.465" Properties=species:S:1:pos:R:3 pbc="T T T"
O 0.420 -0.694 4.118
N 4.338 3.023 1.634
H 0.831 4.124 9.596
S -1.121 3.737 7.574
H 0.926 -0.900 10.545
N 4.527 6.647 1.856
H -0.636 7.725 7.181
N 4.109 0.520 4.130
H 5.679 0.731 9.878
Ag 1.264 3.113 7.020
N 0.292 7.282 7.267
N -0.126 1.155 9.541
H 4.866 5.840 2.387
S 2.329 5.751 6.521
N 2.802 8.011 1.182
N 1.599 -0.209 10.214
N 0.062 4.779 9.762
H 0.851 0.140 4.435
C -1.038 4.693 8.996
H -0.987 9.084 3.043
H 3.570 3.678 1.800
Ag 3.137 4.689 4.376
H 2.597 -0.434 10.265
N 3.882 0.786 6.411
H 3.376 1.183 7.210
H 3.475 8.702 0.852
H 0.007 5.266 10.664
H 3.550 7.662 6.961
H 5.388 -1.282 8.353
H 3.563 5.732 8.782
S 5.522 4.065 3.822
H 4.387 6.370 10.188
C 1.187 0.939 9.652
H 5.037 0.077 4.215
S 2.072 2.051 4.875
H 1.025 6.619 4.186
H -1.278 7.071 1.518
N 0.518 7.016 4.985
H -0.228 7.698 4.784
H 3.804 0.802 3.205
H 0.014 1.432 1.208
H -0.465 1.963 9.010
C 5.439 3.109 2.400
C 3.467 1.052 5.178
S 2.041 5.698 2.245
C 3.214 6.863 1.744
C 0.934 6.750 6.218
H 1.804 8.236 1.131
H 4.629 0.104 6.612
S 2.360 2.104 9.151
H 4.394 2.536 0.732
N 4.360 5.704 9.415
O 3.981 8.496 7.279
Cl -0.325 9.019 0.913
N 0.040 2.098 1.981
H 0.597 7.000 8.191
Cl 4.726 -1.216 10.483
H 0.837 2.070 2.614
```

Values from the calculation:
Total magnetic moment, Bohr magnetons per cell: 0.0
Energy, eV per atom: -5.423


9.
An optimized crystal structure of BaAlZn2Ge, computed with GGA-PBE.

extended XYZ file:
```
5
Lattice="4.403 0.000 0.000 0.000 4.505 0.000 -2.202 -2.253 5.639" Properties=species:S:1:pos:R:3 pbc="T T T"
Zn 2.202 0.000 2.137
Ge 2.202 2.253 3.681
Zn 0.000 0.000 0.723
Al 0.000 2.253 2.140
Ba 0.000 0.000 4.989
```

Values from the calculation:
Total magnetic moment, Bohr magnetons per cell: 0.0
E_form, eV per atom: -0.328
Energy, eV per atom: -2.895


10.
An optimized crystal structure of K2Ba4Ir, computed with GGA-PBE.

extended XYZ file:
```
7
Lattice="-3.099 -1.764 -5.233 0.910 -6.082 1.511 -10.541 -3.944 3.741" Properties=species:S:1:pos:R:3 pbc="T T T"
Ba 0.455 -3.041 0.756
Ir 0.000 0.000 0.000
Ba -1.550 -0.882 -2.616
K -8.569 -7.860 0.061
Ba -7.978 -3.938 2.221
Ba -4.753 -7.852 -2.201
K -4.162 -3.930 -0.042
```

Values from the calculation:
Total magnetic moment, Bohr magnetons per cell: 0.0
E_form, eV per atom: -0.007
Energy, eV per atom: -2.685


11.
An optimized crystal structure of LiPm3Rh8, computed with GGA-PBE.

extended XYZ file:
```
12
Lattice="-5.217 0.833 -0.750 -3.570 -3.327 2.158 -3.177 4.120 7.691" Properties=species:S:1:pos:R:3 pbc="T T T"
Rh -7.053 0.104 1.684
Rh -9.019 2.141 8.169
Li -8.882 -0.580 4.199
Rh -7.814 0.063 6.958
Pm -5.977 0.725 4.422
Rh -8.636 2.139 5.507
Rh -3.037 1.327 3.618
Rh -10.418 0.479 6.584
Pm -8.792 -2.387 1.564
Rh -4.433 -0.315 2.060
Rh -6.226 -1.986 3.144
Pm -6.074 2.647 7.225
```

Values from the calculation:
Total magnetic moment, Bohr magnetons per cell: 0.0
E_form, eV per atom: -0.553
Energy, eV per atom: -6.801


12.
An optimized crystal structure of ErCu4Pd, computed with GGA-PBE.

extended XYZ file:
```
6
Lattice="-3.403 3.553 -0.799 -4.814 -1.214 -0.440 -3.219 1.223 3.604" Properties=species:S:1:pos:R:3 pbc="T T T"
Er 0.000 0.000 0.000
Cu -7.139 2.223 1.476
Cu -4.746 2.827 1.695
Cu -5.539 1.615 -0.315
Pd -2.859 0.890 0.591
Cu -5.447 0.457 1.873
```

Values from the calculation:
Total magnetic moment, Bohr magnetons per cell: 0.0
E_form, eV per atom: -0.370
Energy, eV per atom: -4.727


13.
An optimized crystal structure of LaCdAgBi, computed with GGA-PBE.

extended XYZ file:
```
4
Lattice="-5.217 -0.518 1.142 -2.390 -4.780 -0.481 -1.533 -2.687 4.384" Properties=species:S:1:pos:R:3 pbc="T T T"
Ag -4.570 -3.992 2.523
Bi 0.000 0.000 0.000
La -6.855 -5.988 3.784
Cd -2.285 -1.996 1.261
```

Values from the calculation:
Total magnetic moment, Bohr magnetons per cell: 0.0
E_form, eV per atom: -0.305
Energy, eV per atom: -3.448


14.
An optimized crystal structure of Na2AlSbF, computed with GGA-PBE.

extended XYZ file:
```
5
Lattice="-1.787 0.247 3.856 -3.095 -5.253 -1.098 3.226 -2.243 1.639" Properties=species:S:1:pos:R:3 pbc="T T T"
Al -0.829 -3.625 2.199
Sb -1.548 -2.627 -0.549
Na 1.613 -1.122 0.820
Na -0.894 0.124 1.928
F 0.000 0.000 0.000
```

Values from the calculation:
Total magnetic moment, Bohr magnetons per cell: 0.0
Energy, eV per atom: -3.295
Energy relative to the elements, uncorrected, eV per atom: -0.820


15.
An optimized crystal structure of TiCoCu2, computed with GGA-PBE.

extended XYZ file:
```
8
Lattice="-3.167 1.205 0.424 0.120 -0.850 3.306 1.881 8.423 3.861" Properties=species:S:1:pos:R:3 pbc="T T T"
Cu 0.192 1.709 3.079
Cu -1.537 2.769 1.649
Co 0.000 0.000 0.000
Cu -1.255 6.617 6.204
Ti 0.238 3.875 4.516
Ti -1.524 0.178 1.865
Co -1.405 4.903 3.075
Cu 0.266 6.462 4.250
```

Values from the calculation:
Total magnetic moment, Bohr magnetons per cell: 0.0
E_form, eV per atom: 0.175
Energy, eV per atom: -5.623


16.
An optimized crystal structure of Rb2CaCe2S6, computed with GGA-PBE.

extended XYZ file:
```
11
Lattice="7.161 -0.047 0.092 -3.580 6.202 0.092 -1.248 -2.145 7.714" Properties=species:S:1:pos:R:3 pbc="T T T"
Ce 2.944 0.971 3.949
S 1.706 2.932 5.423
S 1.859 -1.142 5.329
S -1.911 1.052 5.329
S 0.474 5.152 2.568
S 0.627 1.079 2.475
Rb -1.833 5.186 0.092
Ce -0.610 3.039 3.949
Rb 5.414 0.969 0.092
S 4.244 2.959 2.568
Ca -0.624 -1.072 3.857
```

Values from the calculation:
Total magnetic moment, Bohr magnetons per cell: 0.0
Energy, eV per atom: -5.438
Energy relative to the elements, uncorrected, eV per atom: -1.750